1.
Density functional theory data (PBE-GGA) for a relaxed structure of La2PrSi4Ni2Au2.

Unit cell a=12.5997 b=12.5997 c=12.5997 alpha=160.92 beta=160.27 gamma=27.58
Fractional coordinates of all 11 atoms:
La 0.1428 0.6428 0.5000
La 0.8572 0.3572 0.5000
Au 0.7511 0.7511 0.0000
Au 0.2489 0.2489 0.0000
Si 0.5498 0.5498 0.0000
Si 0.4502 0.4502 0.0000
Si 0.3137 0.8137 0.5000
Si 0.6863 0.1863 0.5000
Pr 0.0000 0.0000 0.0000
Ni 0.4067 0.9067 0.5000
Ni 0.5933 0.0933 0.5000

Results
M_tot: 0.001 μB/f.u.
symmetry: Immm
E_tot: -61.871 eV for the cell shown

2.
Density functional theory data (PBE-GGA) for a relaxed structure of Ac3Cd3Ag8.

Unit cell a=9.0374 b=9.0374 c=9.0374 alpha=148.89 beta=113.29 gamma=75.43
Fractional coordinates of all 14 atoms:
Cd 0.1990 0.0000 0.1990
Cd 0.0000 0.5000 0.5000
Cd 0.8010 0.0000 0.8010
Ag 0.9168 0.6342 0.2827
Ag 0.0832 0.3658 0.7173
Ag 0.8052 0.1650 0.6402
Ag 0.1948 0.8350 0.3598
Ag 0.4752 0.8350 0.6402
Ag 0.3515 0.6342 0.7173
Ag 0.5248 0.1650 0.3598
Ag 0.6485 0.3658 0.2827
Ac 0.2043 0.2043 0.0000
Ac 0.7957 0.7957 0.0000
Ac 0.5000 0.5000 0.0000

Results
M_tot: 0.008 μB/f.u.
formation energy: -0.272 eV per atom
symmetry: Immm
E_tot: -41.409 eV for the cell shown

3.
Density functional theory data (PBE-GGA) for a relaxed structure of LaZrPO.

Unit cell a=4.1740 b=7.2787 c=6.0537 alpha=90.00 beta=90.00 gamma=90.00
Fractional coordinates of all 8 atoms:
Zr 0.5000 0.3861 0.0071
Zr 0.5000 0.6139 0.5071
La 0.0000 0.2089 0.4508
La 0.0000 0.7911 0.9508
O 0.5000 0.6483 0.8515
O 0.5000 0.3517 0.3515
P 0.0000 0.1898 0.9445
P 0.0000 0.8102 0.4445

Results
energy relative to the lowest polymorph listed for this composition: 248 meV per atom
M_tot: 0.008 μB/f.u.
symmetry: Pmc2_1
E_tot: -62.372 eV for the cell shown